Record 1
The following is a DFT calculation (GGA-PBE) of SrPm2Gd after structural relaxation.

Calculated values
symmetry = P4/mmm (123)
E = -6.2199 eV/atom

a = 3.7368 Å, b = 3.7368 Å, c = 10.7105 Å
α = 90.00°, β = 90.00°, γ = 90.00°
Closest atoms and distances in Å follow each position.
Fractional positions:
1 Sr 0.0000 0.0000 0.0000  4 Sr 3.74, 8 Pm 3.97
2 Pm 0.5000 0.5000 0.2763  4 Gd 3.57, 4 Pm 3.74, 4 Sr 3.97
3 Pm 0.5000 0.5000 0.7237  4 Gd 3.57, 4 Pm 3.74, 4 Sr 3.97
4 Gd 0.0000 0.0000 0.5000  8 Pm 3.57, 4 Gd 3.74

=====

Record 2
The following is a DFT calculation (GGA-PBE) of SrPm2Gd after structural relaxation.

Calculated values
symmetry = P4/mmm (123)
E = -6.1495 eV/atom

a = 5.2952 Å, b = 5.2952 Å, c = 5.2707 Å
α = 90.00°, β = 90.00°, γ = 90.00°
Closest atoms and distances in Å follow each position.
Fractional positions:
1 Sr 0.0000 0.0000 0.0000  8 Pm 3.74, 4 Gd 3.74
2 Pm 0.0000 0.5000 0.5000  4 Gd 3.74, 4 Sr 3.74, 4 Pm 3.74
3 Pm 0.5000 0.0000 0.5000  4 Gd 3.74, 4 Sr 3.74, 4 Pm 3.74
4 Gd 0.5000 0.5000 0.0000  8 Pm 3.74, 4 Sr 3.74

=====

Record 3
The following is a DFT calculation (GGA-PBE) of SrPm4Gd after structural relaxation.

Calculated values
symmetry = F-43m (216)
E = -5.5672 eV/atom

a = 6.8705 Å, b = 6.8705 Å, c = 6.8705 Å
α = 60.00°, β = 60.00°, γ = 60.00°
Closest atoms and distances in Å follow each position.
Fractional positions:
1 Sr 0.0000 0.0000 0.0000  12 Pm 4.04, 4 Gd 4.21
2 Pm 0.3773 0.3773 0.3773  6 Pm 3.37-3.50
3 Pm 0.3773 0.3773 0.8681  6 Pm 3.37-3.50
4 Pm 0.3773 0.8681 0.3773  6 Pm 3.37-3.50
5 Pm 0.8681 0.3773 0.3773  6 Pm 3.37-3.50
6 Gd 0.7500 0.7500 0.7500  12 Pm 4.02, 4 Sr 4.21

=====

Record 4
The following is a DFT calculation (GGA-PBE) of SrPm2Gd after structural relaxation.

Calculated values
symmetry = R-3m (166)
E = -6.1215 eV/atom

a = 13.2073 Å, b = 13.2073 Å, c = 13.2073 Å
α = 15.94°, β = 15.94°, γ = 15.94°
Closest atoms and distances in Å follow each position.
Fractional positions:
1 Sr 0.0000 0.0000 0.0000  2 Pm 3.63, 6 Sr 3.66
2 Pm 0.0928 0.0928 0.0928  3 Gd 3.58, 1 Sr 3.63, 6 Pm 3.66
3 Pm 0.9072 0.9072 0.9072  3 Gd 3.58, 1 Sr 3.63, 6 Pm 3.66
4 Gd 0.5000 0.5000 0.5000  6 Pm 3.58, 6 Gd 3.66

=====

Record 5
The following is a DFT calculation (GGA-PBE) of PmGd2Ta after structural relaxation.

Calculated values
symmetry = R-3m (166)
E = -10.5646 eV/atom

a = 12.0573 Å, b = 12.0573 Å, c = 12.0573 Å
α = 15.67°, β = 15.67°, γ = 15.67°
Closest atoms and distances in Å follow each position.
Fractional positions:
1 Pm 0.0000 0.0000 0.0000  6 Pm 3.29, 6 Gd 3.59
2 Gd 0.4185 0.4185 0.4185  1 Ta 2.91
3 Gd 0.5815 0.5815 0.5815  1 Ta 2.91
4 Ta 0.5000 0.5000 0.5000  2 Gd 2.91

=====

Record 6
The following is a DFT calculation (GGA-PBE) of Pm2GdTa after structural relaxation.

Calculated values
symmetry = R-3m (166)
E = -8.2058 eV/atom

a = 12.0995 Å, b = 12.0995 Å, c = 12.0995 Å
α = 15.71°, β = 15.71°, γ = 15.71°
Closest atoms and distances in Å follow each position.
Fractional positions:
1 Pm 0.0822 0.0822 0.0822  1 Ta 2.95
2 Pm 0.9178 0.9178 0.9178  1 Ta 2.95
3 Gd 0.5000 0.5000 0.5000  6 Gd 3.31, 6 Pm 3.58
4 Ta 0.0000 0.0000 0.0000  2 Pm 2.95

=====

Record 7
The following is a DFT calculation (GGA-PBE) of Tb4PmGd after structural relaxation.

Calculated values
symmetry = F-43m (216)
E = -5.9738 eV/atom

a = 6.6212 Å, b = 6.6212 Å, c = 6.6212 Å
α = 60.00°, β = 60.00°, γ = 60.00°
Closest atoms and distances in Å follow each position.
Fractional positions:
1 Tb 0.1253 0.1253 0.1253  6 Tb 3.30-3.32
2 Tb 0.1253 0.1253 0.6240  6 Tb 3.30-3.32
3 Tb 0.1253 0.6240 0.1253  6 Tb 3.30-3.32
4 Tb 0.6240 0.1253 0.1253  6 Tb 3.30-3.32
5 Pm 0.5000 0.5000 0.5000  12 Tb 3.88, 4 Gd 4.05
6 Gd 0.7500 0.7500 0.7500  12 Tb 3.88, 4 Pm 4.05

=====

Record 8
The following is a DFT calculation (GGA-PBE) of TbPm4Gd after structural relaxation.

Calculated values
symmetry = F-43m (216)
E = -6.0390 eV/atom

a = 6.6787 Å, b = 6.6787 Å, c = 6.6787 Å
α = 60.00°, β = 60.00°, γ = 60.00°
Closest atoms and distances in Å follow each position.
Fractional positions:
1 Tb 0.0000 0.0000 0.0000  12 Pm 3.91, 4 Gd 4.09
2 Pm 0.3744 0.3744 0.3744  6 Pm 3.32-3.35
3 Pm 0.3744 0.3744 0.8767  6 Pm 3.32-3.35
4 Pm 0.3744 0.8767 0.3744  6 Pm 3.32-3.35
5 Pm 0.8767 0.3744 0.3744  6 Pm 3.32-3.35
6 Gd 0.7500 0.7500 0.7500  12 Pm 3.92, 4 Tb 4.09

=====

What did we get for energy of formation? Answer: 0.096; 0.167; 0.227; 0.194; 0.627; 0.653; 0.252; 0.247 eV/atom, in the order shown.
What did we get for M_tot? Answer: 1.7814; 1.9008; 1.1768; 1.7565; 3.7463; 1.8357; 1.3915; 1.2934 μB per atom, in the order shown.